Computed, not measured: an optimized crystal structure of LiTh2ScSe5 at the PBE level of DFT.

- Magnetization: 0.00 μB per formula unit
- Raw formation energy: -14.19 eV/f.u.
- E_tot: -6.08 eV/atom
- N(E_F): 10.74 states/eV/cell

a = 4.0249 Å, b = 8.7725 Å, c = 12.2096 Å
α = 90.00°, β = 90.00°, γ = 103.26°
Element x y z (fractional)
Se 0.6893 0.3786 0.8536
Th 0.8929 0.7857 0.1815
Sc 0.8012 0.6023 0.5102
Th 0.8679 0.7358 0.8034
Th 0.1071 0.2143 0.6815
Se 0.3107 0.6214 0.3536
Sc 0.1988 0.3977 0.0102
Se 0.5038 0.0075 0.2827
Se 0.7157 0.4314 0.1618
Se 0.6403 0.2805 0.4994
Se 0.3597 0.7195 0.9994
Se 0.9498 0.8997 0.5690
Th 0.1321 0.2642 0.3034
Se 0.4962 0.9925 0.7827
Se 0.2843 0.5686 0.6617
Li 0.5542 0.1084 0.9624
Se 0.0502 0.1003 0.0690
Li 0.4458 0.8916 0.4624